Entry from Alexandria via LeMat-Bulk: a relaxed AlSnAsRh crystal (PBE).

Lattice parameters (Å, degrees): 2.977 3.187 7.894 90.00 90.00 90.00
Atoms (fractional coordinates):
Al: 0.000 0.000 0.000
Sn: 0.000 0.000 0.591
As: 0.000 0.500 0.270
Rh: 0.500 0.500 0.824

Properties
formation enthalpy at 0 K	-294	meV/atom
symmetry	No. 25
polymorph energy (0 for the lowest one)	2.9	kJ/mol of atoms